This record from Alexandria describes a relaxed Si3CCl7 crystal. The functional is PBEsol.

The structure belongs to space group C2/c (No. 15); the cell edges are 16.073, 8.840 and 17.673 Å and the angles 90.00°, 102.31° and 90.00°. The distinct sites, in fractional coordinates, are Si at (0.045, 0.191, 0.313), Si at (0.064, 0.463, 0.218), Si at (0.128, 0.485, 0.405), C at (0.052, 0.407, 0.320), Cl at (0.006, 0.086, 0.105), Cl at (0.091, 0.313, 0.712), Cl at (0.097, 0.301, 0.931), Cl at (0.135, 0.355, 0.501), Cl at (0.153, 0.353, 0.173), Cl at (0.163, 0.096, 0.321) and Cl at (0.246, 0.492, 0.379).

As for the total energy: -4.69 eV/atom. Its uncorrected formation energy is -0.965 eV per atom.